VASP calculation (GGA+U) on a geometry-optimized NaCa2FeO4 structure.

Values from the calculation:
Calculated volume (Å³/cell): 211
Density of states at the Fermi level (states/eV/cell): 0.00
Total moment (μB/atom): 0.375
Calculated total energy (eV/atom): -5.95

Unit cell a=5.698 b=5.698 c=6.513 alpha=90.00 beta=90.00 gamma=90.00
Space group I-42m (No. 121)
Asymmetric unit:
Na 0.000 0.000 0.000
Ca 0.000 0.500 0.250
Fe 0.000 0.000 0.500
O 0.228 0.228 0.451